Entry 1:
MgAl4Zn6: relaxed, PBE.

Values from the calculation:
Energy   -2.017 eV per atom
Calculated formation energy   0.184 eV/atom
Crystal system   tetragonal
Symmetry   I-42m, No. 121

The structure in POSCAR format:
```
MgAl4Zn6
1.0
-2.523 5.786 2.067
-4.007 -4.165 -3.273
1.607 -4.526 4.588
Zn Al Mg
6 4 1
Direct
0.500 0.500 0.000
0.000 0.870 0.578
0.500 0.000 0.500
0.292 0.422 0.422
0.708 0.130 0.130
0.000 0.578 0.870
0.000 0.620 0.248
0.372 0.752 0.752
0.000 0.248 0.620
0.628 0.380 0.380
0.000 0.000 0.000
```

---

Entry 2:
MgAl2Zn6: relaxed, PBE.

Values from the calculation:
Energy   -1.760 eV per atom
Calculated formation energy   0.098 eV/atom
Crystal system   orthorhombic
Symmetry   Immm, No. 71

The structure in POSCAR format:
```
MgAl2Zn6
1.0
4.416 0.000 0.000
2.208 6.687 1.347
2.208 3.210 6.019
Zn Al Mg
6 2 1
Direct
0.000 0.223 0.777
0.200 0.055 0.546
0.800 0.945 0.454
0.200 0.546 0.055
0.000 0.777 0.223
0.800 0.454 0.945
0.387 0.113 0.113
0.613 0.887 0.887
0.500 0.500 0.500
```

---

Entry 3:
MgAl3Zn: relaxed, PBE.

Values from the calculation:
Energy   -2.783 eV per atom
Calculated formation energy   0.036 eV/atom
Crystal system   monoclinic
Symmetry   P2_1/m, No. 11

The structure in POSCAR format:
```
MgAl3Zn
1.0
-2.271 0.923 -4.392
1.381 -4.951 -1.754
-4.514 -2.897 4.622
Al Zn Mg
6 2 2
Direct
0.713 0.700 0.474
0.173 0.948 0.373
0.321 0.200 0.087
0.862 0.448 0.188
0.713 0.195 0.474
0.321 0.695 0.087
0.147 0.948 0.738
0.887 0.448 0.822
0.737 0.948 0.931
0.297 0.448 0.630
```

---

Entry 4:
MgAl4Zn: relaxed, PBE.

Values from the calculation:
Energy   -2.855 eV per atom
Calculated formation energy   0.118 eV/atom
Crystal system   cubic
Symmetry   F-43m, No. 216

The structure in POSCAR format:
```
MgAl4Zn
1.0
0.536 -5.274 -0.924
-4.309 -3.217 0.190
-1.954 -2.151 -4.529
Al Mg Zn
4 1 1
Direct
0.375 0.875 0.375
0.875 0.375 0.375
0.375 0.375 0.875
0.375 0.375 0.375
0.750 0.750 0.750
0.000 0.000 0.000
```

---

Entry 5:
Mg4AlZn: relaxed, PBE.

Values from the calculation:
Energy   -1.809 eV per atom
Calculated formation energy   0.091 eV/atom
Crystal system   tetragonal
Symmetry   I4_1/amd, No. 141

The structure in POSCAR format:
```
Mg4AlZn
1.0
6.544 0.000 0.000
0.000 6.544 0.000
-3.272 -3.272 6.586
Zn Al Mg
2 2 8
Direct
0.250 0.750 0.500
0.500 0.500 0.000
0.000 0.000 0.000
0.750 0.250 0.500
0.132 0.625 0.750
0.875 0.868 0.250
0.132 0.125 0.750
0.618 0.125 0.750
0.375 0.868 0.250
0.375 0.382 0.250
0.618 0.625 0.750
0.875 0.382 0.250
```

---

Entry 6:
Mg4AlZn2: relaxed, PBE.

Values from the calculation:
Energy   -1.742 eV per atom
Calculated formation energy   0.068 eV/atom
Crystal system   trigonal
Symmetry   R-3m, No. 166

The structure in POSCAR format:
```
Mg4AlZn2
1.0
4.516 0.000 0.000
2.258 3.911 0.000
2.258 1.304 8.772
Mg Al Zn
4 1 2
Direct
0.884 0.884 0.348
0.298 0.298 0.105
0.702 0.702 0.895
0.116 0.116 0.652
0.500 0.500 0.500
0.405 0.405 0.786
0.595 0.595 0.214
```

---

Entry 7:
MgAl4Zn: relaxed, PBE.

Values from the calculation:
Energy   -2.938 eV per atom
Calculated formation energy   0.035 eV/atom
Crystal system   monoclinic
Symmetry   P2/m, No. 10

The structure in POSCAR format:
```
MgAl4Zn
1.0
-4.092 -0.370 1.251
-0.118 -9.784 -3.284
1.508 5.489 6.560
Zn Al Mg
2 8 2
Direct
0.500 0.750 0.250
0.500 0.250 0.750
0.000 0.499 0.837
0.500 0.250 0.429
0.500 0.250 0.071
0.500 0.750 0.571
0.000 0.001 0.663
0.000 0.999 0.337
0.500 0.750 0.929
0.000 0.501 0.163
0.000 0.000 0.000
0.000 0.500 0.500
```

---

Entry 8:
MgAlZn4: relaxed, PBE.

Values from the calculation:
Energy   -1.718 eV per atom
Calculated formation energy   0.021 eV/atom
Crystal system   orthorhombic
Symmetry   Cmcm, No. 63

The structure in POSCAR format:
```
MgAlZn4
1.0
3.899 0.000 0.000
0.000 6.780 0.000
-1.949 0.000 7.832
Al Zn Mg
2 8 2
Direct
0.759 0.250 0.519
0.241 0.750 0.481
0.069 0.750 0.139
0.931 0.250 0.861
0.338 0.055 0.675
0.338 0.445 0.675
0.662 0.945 0.325
0.662 0.555 0.325
0.500 0.000 0.000
0.500 0.500 0.000
0.110 0.250 0.220
0.890 0.750 0.780
```

---

Entry 9:
Mg5Al2Zn12: relaxed, PBE.

Values from the calculation:
Energy   -1.648 eV per atom
Calculated formation energy   -0.030 eV/atom
Crystal system   monoclinic
Symmetry   C2/m, No. 12

The structure in POSCAR format:
```
Mg5Al2Zn12
1.0
-2.422 1.559 5.933
4.338 -4.435 2.936
7.060 3.100 2.273
Zn Mg Al
12 5 2
Direct
0.322 0.447 0.106
0.252 0.040 0.292
0.897 0.888 0.224
0.349 0.418 0.774
0.349 0.808 0.774
0.651 0.582 0.226
0.748 0.332 0.708
0.103 0.112 0.776
0.252 0.668 0.292
0.678 0.553 0.894
0.651 0.192 0.226
0.748 0.960 0.708
0.432 0.243 0.514
0.975 0.301 0.398
0.025 0.699 0.602
0.568 0.757 0.486
0.500 0.000 0.000
0.000 0.291 0.000
0.000 0.709 0.000
```

---

Entry 10:
MgAl2Zn: relaxed, PBE.

Values from the calculation:
Energy   -2.585 eV per atom
Calculated formation energy   0.004 eV/atom
Crystal system   tetragonal
Symmetry   I4/mmm, No. 139

The structure in POSCAR format:
```
MgAl2Zn
1.0
5.114 -0.025 0.000
1.893 4.751 0.000
-3.503 -2.363 2.880
Al Mg Zn
2 1 1
Direct
0.500 0.500 0.000
0.000 0.000 0.000
0.250 0.750 0.500
0.750 0.250 0.500
```

---

Entry 11:
MgAl5Zn: relaxed, PBE.

Values from the calculation:
Energy   -2.896 eV per atom
Calculated formation energy   0.187 eV/atom
Crystal system   orthorhombic
Symmetry   Imm2, No. 44

The structure in POSCAR format:
```
MgAl5Zn
1.0
9.914 0.000 0.000
0.000 5.369 0.000
-4.957 -2.685 2.555
Al Zn Mg
5 1 1
Direct
0.088 0.755 0.000
0.088 0.245 0.000
0.121 0.751 0.501
0.620 0.249 0.499
0.634 0.500 0.000
0.631 0.000 0.000
0.349 0.500 0.000
```

---

Entry 12:
MgAl2Zn: relaxed, PBE.

Values from the calculation:
Energy   -2.583 eV per atom
Calculated formation energy   0.006 eV/atom
Crystal system   monoclinic
Symmetry   Pm, No. 6

The structure in POSCAR format:
```
MgAl2Zn
1.0
4.364 0.000 0.000
0.000 2.938 0.061
0.000 1.314 5.526
Mg Al Zn
1 2 1
Direct
0.000 0.545 0.533
0.000 0.804 0.016
0.500 0.202 0.218
0.500 0.948 0.733
```

---

Entry 13:
MgAl2Zn: relaxed, PBE.

Values from the calculation:
Energy   -2.567 eV per atom
Calculated formation energy   0.021 eV/atom
Crystal system   orthorhombic
Symmetry   Cmmm, No. 65

The structure in POSCAR format:
```
MgAl2Zn
1.0
-0.322 -4.952 1.068
4.563 1.814 1.290
-1.005 0.639 2.658
Mg Al Zn
1 2 1
Direct
0.500 0.000 0.500
0.000 0.000 0.000
0.500 0.500 0.000
0.000 0.500 0.500
```

---

Entry 14:
Mg2AlZn3: relaxed, PBE.

Values from the calculation:
Energy   -1.871 eV per atom
Calculated formation energy   -0.079 eV/atom
Crystal system   monoclinic
Symmetry   C2/m, No. 12

The structure in POSCAR format:
```
Mg2AlZn3
1.0
-2.549 -4.209 -1.971
5.294 0.256 -0.089
0.114 0.834 5.202
Mg Zn Al
2 3 1
Direct
0.749 0.374 0.124
0.251 0.626 0.876
0.000 0.000 0.500
0.500 0.000 0.500
0.500 0.500 0.500
0.000 0.000 0.000
```

---

Entry 15:
Mg4AlZn11: relaxed, PBE.

Values from the calculation:
Energy   -1.470 eV per atom
Calculated formation energy   0.039 eV/atom
Crystal system   hexagonal
Symmetry   P-6m2, No. 187

The structure in POSCAR format:
```
Mg4AlZn11
1.0
2.577 -4.463 0.000
2.577 4.463 0.000
0.000 0.000 12.253
Zn Mg Al
11 4 1
Direct
0.667 0.333 0.399
0.167 0.833 0.692
0.167 0.833 0.308
0.333 0.667 0.107
0.000 0.000 0.500
0.667 0.333 0.601
0.167 0.334 0.692
0.167 0.334 0.308
0.666 0.833 0.692
0.333 0.667 0.893
0.666 0.833 0.308
0.667 0.333 0.167
0.667 0.333 0.833
0.000 0.000 0.886
0.000 0.000 0.114
0.333 0.667 0.500
```

---

Entry 16:
Mg2Al6Zn: relaxed, PBE.

Values from the calculation:
Energy   -2.949 eV per atom
Calculated formation energy   0.042 eV/atom
Crystal system   monoclinic
Symmetry   C2/m, No. 12

The structure in POSCAR format:
```
Mg2Al6Zn
1.0
-2.475 3.791 -1.808
-3.900 -3.009 -0.969
1.645 1.584 7.638
Al Zn Mg
6 1 2
Direct
0.297 0.151 0.593
0.602 0.202 0.203
0.703 0.849 0.407
0.398 0.798 0.797
0.190 0.501 0.381
0.810 0.499 0.619
0.500 0.500 0.000
0.065 0.838 0.130
0.935 0.162 0.870
```

---

Entry 17:
MgAl2Zn: relaxed, PBE.

Values from the calculation:
Energy   -2.574 eV per atom
Calculated formation energy   0.015 eV/atom
Crystal system   orthorhombic
Symmetry   Pmm2, No. 25

The structure in POSCAR format:
```
MgAl2Zn
1.0
-2.351 1.237 -1.224
-1.227 -3.597 -1.279
-3.053 -0.768 5.089
Zn Al Mg
1 2 1
Direct
0.500 0.500 0.760
0.000 0.000 0.000
0.500 0.500 0.234
0.000 0.000 0.506
```

---

Entry 18:
MgAl2Zn: relaxed, PBE.

Values from the calculation:
Energy   -2.574 eV per atom
Calculated formation energy   0.014 eV/atom
Crystal system   tetragonal
Symmetry   P4mm, No. 99

The structure in POSCAR format:
```
MgAl2Zn
1.0
-0.092 0.347 -2.852
-2.831 -0.497 0.032
-1.434 8.232 1.047
Zn Al Mg
1 2 1
Direct
0.500 0.500 0.758
0.000 0.000 0.990
0.500 0.500 0.242
0.000 0.000 0.510
```

---

Entry 19:
MgAlZn: relaxed, PBE.

Values from the calculation:
Energy   -2.257 eV per atom
Calculated formation energy   -0.053 eV/atom
Crystal system   orthorhombic
Symmetry   Imma, No. 74

The structure in POSCAR format:
```
MgAlZn
1.0
4.692 -0.158 -2.572
-3.162 4.319 -0.036
0.044 0.158 5.351
Mg Zn Al
2 2 2
Direct
0.250 0.124 0.874
0.750 0.876 0.126
0.000 0.500 0.500
0.500 0.000 0.500
0.500 0.500 0.500
0.000 0.500 0.000
```

---

Entry 20:
MgAlZn: relaxed, PBE.

Values from the calculation:
Energy   -2.190 eV per atom
Calculated formation energy   0.013 eV/atom
Crystal system   cubic
Symmetry   F-43m, No. 216

The structure in POSCAR format:
```
MgAlZn
1.0
4.370 0.000 0.000
2.185 3.784 0.000
2.185 1.261 3.568
Zn Mg Al
1 1 1
Direct
0.750 0.750 0.750
0.500 0.500 0.500
0.000 0.000 0.000
```